(1)
A relaxed Tb15TmSc4 crystal. Source: Alexandria via LeMat-Bulk, functional PBE.

Unit cell a=4.949 b=4.949 c=24.663 alpha=90.00 beta=90.00 gamma=90.00
Sites, in units of the cell vectors:
Tb (0.500, 0.500, 0.202)
Tb (0.000, 0.500, 0.699)
Tb (0.500, 0.000, 0.500)
Tb (0.000, 0.500, 0.897)
Tb (0.500, 0.000, 0.897)
Tb (0.500, 0.000, 0.103)
Sc (0.000, 0.000, 0.401)
Tb (0.500, 0.000, 0.699)
Sc (0.000, 0.000, 0.798)
Sc (0.000, 0.000, 0.202)
Tb (0.500, 0.000, 0.301)
Tb (0.500, 0.500, 0.401)
Tb (0.000, 0.500, 0.500)
Tb (0.000, 0.500, 0.103)
Tb (0.500, 0.500, 0.000)
Tb (0.500, 0.500, 0.599)
Tm (0.000, 0.000, 0.000)
Sc (0.000, 0.000, 0.599)
Tb (0.000, 0.500, 0.301)
Tb (0.500, 0.500, 0.798)

Crystal system ... tetragonal
ΔH_f (0 K) ... 0.033 eV per atom
Total magnetization ... 0.000 μB per formula unit
Final energy ... -98.6 eV for the cell shown

=====

(2)
A relaxed Pm5Er2Sb4 crystal. Source: Alexandria via LeMat-Bulk, functional PBE.

Unit cell a=4.255 b=8.331 c=11.965 alpha=115.25 beta=100.24 gamma=90.00
Sites, in units of the cell vectors:
Pm (0.098, 0.720, 0.197)
Sb (0.694, 0.679, 0.388)
Pm (0.500, 0.000, 0.000)
Pm (0.902, 0.280, 0.803)
Sb (0.306, 0.321, 0.612)
Er (0.290, 0.923, 0.580)
Er (0.710, 0.077, 0.420)
Pm (0.826, 0.632, 0.652)
Sb (0.965, 0.695, 0.930)
Sb (0.035, 0.305, 0.070)
Pm (0.174, 0.368, 0.348)

Crystal system ... monoclinic
Total magnetization ... 1.997 μB per formula unit
Uncorrected formation energy ... -0.592 eV per atom
Final energy ... -55.9 eV for the cell shown

=====

(3)
A relaxed FeAs2Ir crystal. Source: Alexandria via LeMat-Bulk, functional PBE.

Unit cell a=4.378 b=4.378 c=3.088 alpha=90.00 beta=90.00 gamma=90.00
Sites, in units of the cell vectors:
Ir (0.000, 0.500, 0.500)
As (0.000, 0.000, 0.000)
Fe (0.500, 0.000, 0.500)
As (0.500, 0.500, 0.000)

Crystal system ... tetragonal
ΔH_f (0 K) ... 0.146 eV per atom
Total magnetization ... 2.464 μB per formula unit
Final energy ... -26.0 eV for the cell shown

=====

(4)
A relaxed SiRhC2F crystal. Source: Alexandria via LeMat-Bulk, functional PBE.

Unit cell a=3.589 b=3.589 c=4.835 alpha=90.00 beta=90.00 gamma=90.00
Sites, in units of the cell vectors:
F (0.500, 0.500, 0.500)
Rh (0.000, 0.000, 0.500)
Si (0.000, 0.000, 0.000)
C (0.000, 0.500, 0.000)
C (0.500, 0.000, 0.000)

Crystal system ... tetragonal
Total magnetization ... 0.001 μB per formula unit
Uncorrected formation energy ... 1.269 eV per atom
Final energy ... -26.8 eV for the cell shown

=====

(5)
A relaxed Li2BeAlNi crystal. Source: Alexandria via LeMat-Bulk, functional PBE.

Unit cell a=4.326 b=4.503 c=4.326 alpha=90.00 beta=90.00 gamma=90.00
Sites, in units of the cell vectors:
Li (0.500, 0.000, 0.000)
Ni (0.000, 0.000, 0.000)
Be (0.500, 0.500, 0.500)
Li (0.000, 0.000, 0.500)
Al (0.000, 0.500, 0.000)

Crystal system ... tetragonal
ΔH_f (0 K) ... 0.531 eV per atom
Total magnetization ... 0.000 μB per formula unit
Final energy ... -14.4 eV for the cell shown

=====

(6)
A relaxed LaTbAg3 crystal. Source: Alexandria via LeMat-Bulk, functional PBE.

Unit cell a=3.661 b=4.835 c=14.260 alpha=90.00 beta=97.37 gamma=90.00
Sites, in units of the cell vectors:
Ag (0.623, 0.750, 0.246)
Ag (0.377, 0.250, 0.754)
La (0.925, 0.750, 0.849)
Ag (0.524, 0.750, 0.049)
Tb (0.209, 0.750, 0.419)
Ag (0.320, 0.750, 0.641)
Ag (0.476, 0.250, 0.951)
Tb (0.791, 0.250, 0.581)
La (0.075, 0.250, 0.151)
Ag (0.680, 0.250, 0.359)

Crystal system ... orthorhombic
ΔH_f (0 K) ... -0.277 eV per atom
Total magnetization ... 0.000 μB per formula unit
Final energy ... -39.0 eV for the cell shown

=====

(7)
A relaxed CaCo2Ge2 crystal. Source: Alexandria via LeMat-Bulk, functional PBE.

Unit cell a=7.269 b=7.269 c=2.804 alpha=90.00 beta=90.00 gamma=90.00
Sites, in units of the cell vectors:
Ge (0.845, 0.345, 0.500)
Ge (0.345, 0.155, 0.500)
Ca (0.500, 0.500, 0.000)
Co (0.868, 0.632, 0.000)
Ge (0.655, 0.845, 0.500)
Co (0.632, 0.132, 0.000)
Ca (0.000, 0.000, 0.000)
Co (0.132, 0.368, 0.000)
Co (0.368, 0.868, 0.000)
Ge (0.155, 0.655, 0.500)

Crystal system ... tetragonal
ΔH_f (0 K) ... -0.142 eV per atom
Total magnetization ... 0.435 μB per formula unit
Final energy ... -52.3 eV for the cell shown

=====

(8)
A relaxed CrCd2As crystal. Source: Alexandria via LeMat-Bulk, functional PBE.

Unit cell a=4.860 b=4.860 c=4.860 alpha=60.00 beta=60.00 gamma=60.00
Sites, in units of the cell vectors:
Cd (0.000, 0.000, 0.000)
Cr (0.250, 0.250, 0.250)
Cd (0.750, 0.750, 0.750)
As (0.500, 0.500, 0.500)

Crystal system ... cubic
ΔH_f (0 K) ... 0.319 eV per atom
Total magnetization ... 4.375 μB per formula unit
Final energy ... -14.8 eV for the cell shown

=====

(9)
A relaxed CuAuBr crystal. Source: Alexandria via LeMat-Bulk, functional PBE.

Unit cell a=3.727 b=3.941 c=11.062 alpha=90.00 beta=90.00 gamma=118.22
Sites, in units of the cell vectors:
Br (0.954, 0.907, 0.849)
Au (0.882, 0.764, 0.621)
Au (0.882, 0.764, 0.379)
Cu (0.431, 0.863, 0.000)
Cu (0.564, 0.128, 0.500)
Br (0.954, 0.907, 0.151)

Crystal system ... orthorhombic
Total magnetization ... 0.000 μB per formula unit
Uncorrected formation energy ... 0.049 eV per atom
Final energy ... -17.8 eV for the cell shown

=====

(10)
A relaxed CuAsPd2 crystal. Source: Alexandria via LeMat-Bulk, functional PBE.

Unit cell a=4.367 b=4.367 c=7.718 alpha=90.00 beta=90.01 gamma=60.00
Sites, in units of the cell vectors:
As (0.333, 0.333, 0.712)
As (0.667, 0.667, 0.288)
Pd (0.333, 0.333, 0.036)
Pd (0.667, 0.667, 0.964)
Pd (0.333, 0.333, 0.387)
Cu (0.000, 0.000, 0.173)
Cu (0.000, 0.000, 0.827)
Pd (0.667, 0.667, 0.613)

Crystal system ... trigonal
ΔH_f (0 K) ... -0.135 eV per atom
Total magnetization ... 0.000 μB per formula unit
Final energy ... -39.3 eV for the cell shown

=====

(11)
A relaxed ThScGe crystal. Source: Alexandria via LeMat-Bulk, functional PBE.

Unit cell a=4.140 b=6.037 c=6.795 alpha=75.16 beta=72.26 gamma=69.94
Sites, in units of the cell vectors:
Th (0.419, 0.327, 0.835)
Sc (0.823, 0.778, 0.575)
Ge (0.141, 0.900, 0.819)
Sc (0.177, 0.222, 0.425)
Ge (0.859, 0.100, 0.181)
Th (0.581, 0.673, 0.165)

Crystal system ... monoclinic
ΔH_f (0 K) ... -0.570 eV per atom
Total magnetization ... 0.000 μB per formula unit
Final energy ... -40.2 eV for the cell shown

=====

(12)
A relaxed Li2MnCd crystal. Source: Alexandria via LeMat-Bulk, functional PBE.

Unit cell a=4.859 b=4.859 c=2.982 alpha=90.00 beta=90.00 gamma=104.71
Sites, in units of the cell vectors:
Li (0.000, 0.000, 0.000)
Li (0.500, 0.500, 0.000)
Cd (0.000, 0.500, 0.500)
Mn (0.500, 0.000, 0.500)

Crystal system ... orthorhombic
ΔH_f (0 K) ... 0.156 eV per atom
Total magnetization ... 3.903 μB per formula unit
Final energy ... -13.3 eV for the cell shown

=====

(13)
A relaxed MgSi3Hg crystal. Source: Alexandria via LeMat-Bulk, functional PBE.

Unit cell a=4.956 b=4.956 c=4.956 alpha=90.00 beta=90.00 gamma=90.00
Sites, in units of the cell vectors:
Hg (0.500, 0.500, 0.500)
Si (0.000, 0.000, 0.500)
Mg (0.000, 0.000, 0.000)
Si (0.000, 0.500, 0.000)
Si (0.500, 0.000, 0.000)

Crystal system ... cubic
Total magnetization ... 0.000 μB per formula unit
Uncorrected formation energy ... 1.079 eV per atom
Final energy ... -12.8 eV for the cell shown